First-principles (PBE-GGA) data for crystalline PmPr2Hg4 at its relaxed geometry, as listed in Alexandria via LeMat-Bulk.

Cell and atoms, written as POSCAR:
```
PmPr2Hg4
1.0
5.7489 0.0000 0.0000
0.0000 5.7489 0.0000
-2.8744 -2.8744 7.9312
Pm Pr Hg
1 2 4
Direct
0.0000 0.0000 0.0000
0.6047 0.6047 0.2094
0.3953 0.3953 0.7906
0.8050 0.8050 0.6099
0.1950 0.1950 0.3901
0.0000 0.5000 0.0000
0.5000 0.0000 0.0000
```

Summary:
Energy relative to the elements ... -0.02 eV per atom
Energy above the lowest structure with this stoichiometry ... 317 meV/atom